VASP calculation (PBEsol) on an optimized crystal structure of NaPW3.

Lattice parameters (Å, degrees): 4.491 4.491 4.491 90.00 90.00 90.00
Element x y z (fractional)
Na  0.000  0.000  0.000
P  0.500  0.500  0.500
W  0.000  0.500  0.500
W  0.500  0.000  0.500
W  0.500  0.500  0.000

Values from the calculation:
DOS(E_F) = 1.36 states/eV/atom
Symmetry = Pm-3m (221)
E = -8.466 eV/atom
DFT formation energy = 1.256 eV per atom